(1)
Material: BaZrPO
Method: DFT, PBE
State: relaxed

abc: 4.3991 7.5143 6.4570
angles: 90.00 90.00 90.00
Space group Pmc2_1 (No. 26)
Unique sites:
Ba (0.0000, 0.2005, 0.0000) (multiplicity 2)
Zr (0.5000, 0.3882, 0.5642) (multiplicity 2)
P (0.0000, 0.2263, 0.4953) (multiplicity 2)
O (0.5000, 0.3853, 0.8869) (multiplicity 2)

Results
polymorph energy (0 for the lowest one) = 0 meV per atom
V = 26.7 Å³ per atom
electronic total energy = -6.955 eV/atom

=====

(2)
Material: BaZrPO
Method: DFT, PBE
State: relaxed

abc: 4.6067 4.6067 10.0120
angles: 90.00 90.00 90.00
Space group P4/nmm (No. 129, origin choice 2)
Unique sites:
Ba (0.2500, 0.2500, 0.1120) (multiplicity 2)
Zr (0.2500, 0.7500, 0.5000) (multiplicity 2)
P (0.2500, 0.2500, 0.6168) (multiplicity 2)
O (0.2500, 0.7500, 0.0000) (multiplicity 2)

Results
polymorph energy (0 for the lowest one) = 264 meV per atom
V = 26.6 Å³ per atom
electronic total energy = -6.691 eV/atom

=====

(3)
Material: BaZrPO
Method: DFT, PBE
State: relaxed

abc: 3.9610 6.9385 7.1503
angles: 90.00 90.00 90.00
Space group Pmc2_1 (No. 26)
Unique sites:
Ba (0.0000, 0.2394, 0.0000) (multiplicity 2)
Zr (0.5000, 0.2490, 0.4746) (multiplicity 2)
P (0.5000, 0.4872, 0.7374) (multiplicity 2)
O (0.0000, 0.1497, 0.4542) (multiplicity 2)

Results
polymorph energy (0 for the lowest one) = 45 meV per atom
V = 24.6 Å³ per atom
electronic total energy = -6.910 eV/atom

=====

Which value of V does entry 3 give? 24.6 Å³ per atom

=====

Which of these has the highest polymorph energy (0 for the lowest one)? number 2

=====

Which value of electronic total energy does entry 3 give? -6.910 eV/atom